--- i ---
# CrBPO2

A relaxed structure of CrBPO2 (PBE with a Hubbard U, Alexandria).

Cell and atoms, written as extended XYZ:
```
5
Lattice="3.495 0.000 0.000 0.000 3.495 0.000 0.000 0.000 5.091" Properties=species:S:1:pos:R:3 pbc="T T T"
Cr 0.000 0.000 0.000
B 1.747 1.747 2.546
P 0.000 0.000 2.546
O 0.000 1.747 0.000
O 1.747 0.000 0.000
```

Summary:
- Symmetry: P4/mmm (123)
- DOS(E_F): 3.73 states/eV/cell
- Crystal system: tetragonal
- Spin magnetization: 0.0 μB/cell



--- ii ---
# CrBPO2

A relaxed structure of CrBPO2 (PBE with a Hubbard U, Alexandria).

Cell and atoms, written as extended XYZ:
```
5
Lattice="3.170 0.000 0.000 0.000 3.170 0.000 0.000 0.000 7.027" Properties=species:S:1:pos:R:3 pbc="T T T"
Cr 0.000 0.000 0.000
B 1.585 1.585 3.514
P 1.585 1.585 0.000
O 0.000 1.585 3.514
O 1.585 0.000 3.514
```

Summary:
- Symmetry: P4/mmm (123)
- DOS(E_F): 2.44 states/eV/cell
- Crystal system: tetragonal
- Spin magnetization: 2.9 μB/cell



Most stable to least stable, the ends of the list are ii and i.



--- i ---
# CrBP2O

A relaxed structure of CrBP2O (PBE with a Hubbard U, Alexandria).

Cell and atoms, written as extended XYZ:
```
5
Lattice="4.674 0.000 0.000 0.000 4.674 0.000 0.000 0.000 3.476" Properties=species:S:1:pos:R:3 pbc="T T T"
Cr 0.000 0.000 0.000
B 2.337 2.337 1.738
P 0.000 2.337 0.000
P 2.337 0.000 0.000
O 0.000 0.000 1.738
```

Summary:
- Symmetry: P4/mmm (123)
- DOS(E_F): 2.88 states/eV/cell
- Crystal system: tetragonal
- Spin magnetization: 1.3 μB/cell



--- ii ---
# CrBP2O

A relaxed structure of CrBP2O (PBE with a Hubbard U, Alexandria).

Cell and atoms, written as extended XYZ:
```
5
Lattice="4.916 0.000 0.000 0.000 4.916 0.000 0.000 0.000 2.718" Properties=species:S:1:pos:R:3 pbc="T T T"
Cr 0.000 0.000 0.000
B 2.458 2.458 1.359
P 0.000 2.458 1.359
P 2.458 0.000 1.359
O 2.458 2.458 0.000
```

Summary:
- Symmetry: P4/mmm (123)
- DOS(E_F): 3.49 states/eV/cell
- Crystal system: tetragonal
- Spin magnetization: 3.6 μB/cell



Most stable to least stable, the ends of the list are ii and i.